A relaxed TiTe2Ru2 crystal, computed with PBE-GGA.

The structure in POSCAR format:
```
TiTe2Ru2
1.0
-2.0339 2.0339 6.2390
2.0339 -2.0339 6.2390
2.0339 2.0339 -6.2390
Ti Te Ru
1 2 2
Direct
0.0000 0.0000 0.0000
0.3764 0.3764 0.0000
0.6236 0.6236 0.0000
0.2500 0.7500 0.5000
0.7500 0.2500 0.5000
```

Calculated values
**Energy relative to the elements, uncorrected**: 29.8 kJ/mol of atoms
**N(E_F)**: 5.55 states/eV per cell
**Space-group type**: I4/mmm, No. 139
**Energy relative to the lowest polymorph listed for this composition**: 102 meV/atom